[1]
UTlPdAu | PBE-GGA | optimized geometry

Calculated values
Energy of formation from the pure elements ... -0.10 eV per atom
M_tot ... 2.27 μB/f.u.
Electronic total energy ... -5.632 eV per atom

```
data_UTlPdAu
_symmetry_space_group_name_H-M 'F -4 3 m'
_symmetry_Int_Tables_number 216
_symmetry_space_group_name_Hall 'F -4 2 3'
_cell_length_a 7.0001
_cell_length_b 7.0001
_cell_length_c 7.0001
_cell_angle_alpha 90.00
_cell_angle_beta 90.00
_cell_angle_gamma 90.00
loop_
_atom_site_label
_atom_site_type_symbol
_atom_site_fract_x
_atom_site_fract_y
_atom_site_fract_z
U1 U 0.0000 0.0000 0.0000
Tl1 Tl 0.0000 0.0000 0.5000
Pd1 Pd 0.2500 0.2500 0.7500
Au1 Au 0.2500 0.2500 0.2500
```

[2]
CeSm2PuP4 | PBE-GGA | optimized geometry

Calculated values
Energy of formation from the pure elements ... -1.45 eV per atom
M_tot ... 5.53 μB/f.u.
Electronic total energy ... -7.868 eV per atom

```
data_CeSm2PuP4
_symmetry_space_group_name_H-M 'P 1 2/m 1'
_symmetry_Int_Tables_number 10
_symmetry_space_group_name_Hall '-P 2y'
_cell_length_a 7.0535
_cell_length_b 4.0764
_cell_length_c 7.0565
_cell_angle_alpha 90.00
_cell_angle_beta 109.55
_cell_angle_gamma 90.00
loop_
_atom_site_label
_atom_site_type_symbol
_atom_site_fract_x
_atom_site_fract_y
_atom_site_fract_z
Ce1 Ce 0.0000 0.0000 0.0000
Sm1 Sm 0.0000 0.5000 0.5000
Sm2 Sm 0.5000 0.0000 0.5000
Pu1 Pu 0.5000 0.5000 0.0000
P1 P 0.2496 0.5000 0.2439
P2 P 0.2557 0.0000 0.7588
```

[3]
CdPRu2 | PBE-GGA | optimized geometry

Calculated values
Energy of formation from the pure elements ... 0.24 eV per atom
Energy relative to the lowest polymorph listed for this composition ... 1.451 eV per formula unit
M_tot ... 0.00 μB/f.u.
Electronic total energy ... -5.984 eV per atom

```
data_CdPRu2
_symmetry_space_group_name_H-M 'F m -3 m'
_symmetry_Int_Tables_number 225
_symmetry_space_group_name_Hall '-F 4 2 3'
_cell_length_a 6.1603
_cell_length_b 6.1603
_cell_length_c 6.1603
_cell_angle_alpha 90.00
_cell_angle_beta 90.00
_cell_angle_gamma 90.00
loop_
_atom_site_label
_atom_site_type_symbol
_atom_site_fract_x
_atom_site_fract_y
_atom_site_fract_z
Cd1 Cd 0.0000 0.0000 0.0000
P1 P 0.0000 0.0000 0.5000
Ru1 Ru 0.2500 0.2500 0.2500
```

[4]
BaAl3Ga3 | PBE-GGA | optimized geometry

Calculated values
Energy of formation from the pure elements ... -0.19 eV per atom
Energy relative to the lowest polymorph listed for this composition ... 0.000 eV per formula unit
M_tot ... 0.00 μB/f.u.
Electronic total energy ... -3.368 eV per atom

```
data_BaAl3Ga3
_symmetry_space_group_name_H-M 'P 1 21/m 1'
_symmetry_Int_Tables_number 11
_symmetry_space_group_name_Hall '-P 2yb'
_cell_length_a 7.5957
_cell_length_b 4.9167
_cell_length_c 9.0830
_cell_angle_alpha 90.00
_cell_angle_beta 113.92
_cell_angle_gamma 90.00
loop_
_atom_site_label
_atom_site_type_symbol
_atom_site_fract_x
_atom_site_fract_y
_atom_site_fract_z
Ba1 Ba 0.2452 0.2500 0.1389
Al1 Al 0.0828 0.2500 0.4572
Al2 Al 0.2895 0.7500 0.5834
Al3 Al 0.3828 0.2500 0.8041
Ga1 Ga 0.0050 0.7500 0.2761
Ga2 Ga 0.2625 0.7500 0.8719
Ga3 Ga 0.4729 0.2500 0.5608
```